*w*
FeCu2Re | SCAN | single point on PBEsol structure

a = 2.560 Å, b = 2.560 Å, c = 7.507 Å
α = 90.00°, β = 90.00°, γ = 90.00°
Site moments in Bohr magnetons follow the coordinates.
Positions (direct):
Fe  0.500  0.500  0.000  2.98
Cu  0.000  0.000  0.762  0.03
Cu  0.000  0.000  0.238  0.03
Re  0.500  0.500  0.500  -0.03

total magnetization = 2.85 μB per cell

***

*x*
FeCu2Re | SCAN | single point on PBEsol structure

a = 2.489 Å, b = 4.175 Å, c = 4.778 Å
α = 90.00°, β = 101.56°, γ = 90.00°
Site moments in Bohr magnetons follow the coordinates.
Positions (direct):
Cu  0.679  0.000  0.757  0.03
Cu  0.321  0.000  0.243  0.03
Fe  0.500  0.500  0.000  2.72
Re  0.000  0.500  0.500  -0.10

total magnetization = 2.58 μB per cell

***

Going by the energies, *w* is most stable and the next is 49 meV/atom up.

***

*w*
Sc2FeCu | SCAN | single point on PBEsol structure

a = 4.426 Å, b = 4.426 Å, c = 4.426 Å
α = 60.00°, β = 60.00°, γ = 60.00°
Positions (direct):
Sc  0.750  0.750  0.750
Sc  0.250  0.250  0.250
Cu  0.500  0.500  0.500
Fe  0.000  0.000  0.000

total magnetization = 0.00 μB per cell

***

*x*
Sc2FeCu | SCAN | single point on PBEsol structure

a = 3.107 Å, b = 3.107 Å, c = 6.410 Å
α = 90.00°, β = 90.00°, γ = 90.00°
Positions (direct):
Fe  0.500  0.500  0.500
Cu  0.500  0.500  0.000
Sc  0.000  0.000  0.269
Sc  0.000  0.000  0.731

total magnetization = 0.00 μB per cell

***

*y*
Sc2FeCu | SCAN | single point on PBEsol structure

a = 3.129 Å, b = 3.129 Å, c = 6.946 Å
α = 90.00°, β = 90.00°, γ = 90.00°
Site moments in Bohr magnetons follow the coordinates.
Positions (direct):
Fe  0.500  0.500  0.711  2.77
Sc  0.000  0.000  0.938  -0.36
Sc  0.500  0.500  0.310  -0.03
Cu  0.000  0.000  0.541  0.02

total magnetization = 2.14 μB per cell

***

Going by the energies, *x* is most stable and the next is 56 meV/atom up.

***

*w*
Sr2FeCu | SCAN | single point on PBEsol structure

a = 4.357 Å, b = 4.357 Å, c = 6.023 Å
α = 111.20°, β = 111.20°, γ = 90.00°
Site moments in Bohr magnetons follow the coordinates.
Positions (direct):
Fe  0.250  0.750  0.500  2.76
Sr  0.000  0.000  0.000  -0.07
Sr  0.750  0.250  0.500  -0.07
Cu  0.500  0.500  0.000  0.00

total magnetization = 2.38 μB per cell

***

*x*
Sr2FeCu | SCAN | single point on PBEsol structure

a = 3.578 Å, b = 4.201 Å, c = 8.203 Å
α = 99.60°, β = 90.00°, γ = 115.20°
Site moments in Bohr magnetons follow the coordinates.
Positions (direct):
Sr  0.253  0.506  0.252  -0.06
Sr  0.747  0.494  0.748  -0.06
Cu  0.000  0.000  0.500  0.00
Fe  0.500  0.000  0.000  2.93

total magnetization = 2.44 μB per cell

***

*y*
Sr2FeCu | SCAN | single point on PBEsol structure

a = 4.212 Å, b = 4.529 Å, c = 6.037 Å
α = 112.03°, β = 90.00°, γ = 90.00°
Site moments in Bohr magnetons follow the coordinates.
Positions (direct):
Cu  0.000  0.800  0.599  0.08
Sr  0.000  0.107  0.215  -0.07
Sr  0.500  0.394  0.787  -0.06
Fe  0.500  0.706  0.411  2.81

total magnetization = 2.36 μB per cell

***

Going by the energies, *y* is most stable and the next is 341 meV/atom up.

***

*w*
Tl2FeCu | SCAN | single point on PBEsol structure

a = 2.992 Å, b = 4.639 Å, c = 5.645 Å
α = 107.38°, β = 105.37°, γ = 90.00°
Site moments in Bohr magnetons follow the coordinates.
Positions (direct):
Tl  0.976  0.937  0.952  -0.02
Tl  0.760  0.298  0.521  -0.05
Cu  0.539  0.486  0.079  0.01
Fe  0.224  0.779  0.449  2.98

total magnetization = 2.81 μB per cell

***

*x*
Tl2FeCu | SCAN | single point on PBEsol structure

a = 3.872 Å, b = 3.872 Å, c = 5.478 Å
α = 110.70°, β = 110.70°, γ = 90.00°
Site moments in Bohr magnetons follow the coordinates.
Positions (direct):
Cu  0.500  0.500  0.000  -0.01
Tl  0.750  0.250  0.500  -0.04
Tl  0.000  0.000  0.000  -0.02
Fe  0.250  0.750  0.500  3.06

total magnetization = 2.85 μB per cell

***

Going by the energies, *w* is most stable and the next is 112 meV/atom up.

***

*w*
TlFe2Cu | SCAN | single point on PBEsol structure

a = 4.280 Å, b = 4.280 Å, c = 4.280 Å
α = 60.00°, β = 60.00°, γ = 60.00°
Site moments in Bohr magnetons follow the coordinates.
Positions (direct):
Tl  0.500  0.500  0.500  -0.09
Cu  0.000  0.000  0.000  0.06
Fe  0.750  0.750  0.750  2.94
Fe  0.250  0.250  0.250  2.94

total magnetization = 5.62 μB per cell

***

*x*
TlFe2Cu | SCAN | single point on PBEsol structure

a = 3.711 Å, b = 3.711 Å, c = 3.997 Å
α = 90.00°, β = 90.00°, γ = 90.00°
Site moments in Bohr magnetons follow the coordinates.
Positions (direct):
Fe  0.000  0.500  0.000  2.85
Fe  0.500  0.000  0.000  2.85
Tl  0.500  0.500  0.500  -0.12
Cu  0.000  0.000  0.500  0.01

total magnetization = 5.32 μB per cell

***

Going by the energies, *x* is most stable and the next is 170 meV/atom up.

***

*w*
TlFe2Cu | SCAN | single point on PBEsol structure

a = 2.849 Å, b = 2.849 Å, c = 8.554 Å
α = 80.42°, β = 80.42°, γ = 60.00°
Site moments in Bohr magnetons follow the coordinates.
Positions (direct):
Cu  0.000  0.000  0.000  0.09
Tl  0.500  0.500  0.500  -0.05
Fe  0.742  0.742  0.774  3.02
Fe  0.258  0.258  0.226  3.02

total magnetization = 5.83 μB per cell

***

*x*
TlFe2Cu | SCAN | single point on PBEsol structure

a = 2.822 Å, b = 2.822 Å, c = 7.081 Å
α = 90.00°, β = 90.00°, γ = 90.00°
Site moments in Bohr magnetons follow the coordinates.
Positions (direct):
Tl  0.500  0.500  0.000  -0.06
Fe  0.000  0.000  0.290  2.96
Fe  0.000  0.000  0.710  2.96
Cu  0.500  0.500  0.500  0.07

total magnetization = 5.67 μB per cell

***

Going by the energies, *x* is most stable and the next is 178 meV/atom up.

***

*w*
Tl2Fe2Cu | SCAN | single point on PBEsol structure

a = 3.301 Å, b = 3.301 Å, c = 8.235 Å
α = 101.56°, β = 101.56°, γ = 90.00°
Site moments in Bohr magnetons follow the coordinates.
Positions (direct):
Tl  0.606  0.606  0.211  -0.01
Tl  0.394  0.394  0.789  -0.01
Fe  0.750  0.250  0.500  2.78
Fe  0.250  0.750  0.500  2.78
Cu  0.000  0.000  0.000  0.03

total magnetization = 5.47 μB per cell

***

*x*
Tl2Fe2Cu | SCAN | single point on PBEsol structure

a = 5.023 Å, b = 5.023 Å, c = 5.023 Å
α = 89.44°, β = 60.32°, γ = 119.68°
Site moments in Bohr magnetons follow the coordinates.
Positions (direct):
Fe  0.000  0.650  0.350  2.46
Fe  0.000  0.350  0.650  2.46
Tl  0.500  0.250  0.250  -0.07
Tl  0.500  0.750  0.750  -0.07
Cu  0.000  0.000  0.000  0.03

total magnetization = 4.77 μB per cell

***

Going by the energies, *w* is most stable and the next is 221 meV/atom up.

***

*w*
FeCuW2 | SCAN | single point on PBEsol structure

a = 2.584 Å, b = 3.906 Å, c = 5.386 Å
α = 90.00°, β = 90.00°, γ = 90.00°
Site moments in Bohr magnetons follow the coordinates.
Positions (direct):
Cu  0.000  0.000  0.510  0.00
W  0.000  0.000  0.986  -0.19
W  0.500  0.500  0.268  -0.03
Fe  0.500  0.500  0.736  2.44

total magnetization = 2.15 μB per cell

***

*x*
FeCuW2 | SCAN | single point on PBEsol structure

a = 2.602 Å, b = 4.262 Å, c = 4.855 Å
α = 90.00°, β = 97.20°, γ = 90.00°
Site moments in Bohr magnetons follow the coordinates.
Positions (direct):
Fe  0.342  0.500  0.763  2.18
Cu  0.379  0.000  0.492  -0.01
W  0.005  0.000  0.970  -0.13
W  0.774  0.500  0.275  -0.08

total magnetization = 1.88 μB per cell

***

*y*
FeCuW2 | SCAN | single point on PBEsol structure

a = 3.711 Å, b = 3.711 Å, c = 4.706 Å
α = 113.22°, β = 113.22°, γ = 90.00°
Site moments in Bohr magnetons follow the coordinates.
Positions (direct):
W  0.000  0.000  0.000  -0.01
W  0.750  0.250  0.500  0.12
Cu  0.500  0.500  0.000  0.05
Fe  0.250  0.750  0.500  2.62

total magnetization = 2.76 μB per cell

***

Going by the energies, *x* is most stable and the next is 77 meV/atom up.

***

*w*
Zn2GaCuSe4 | SCAN | single point on PBEsol structure

a = 5.607 Å, b = 5.607 Å, c = 6.842 Å
α = 114.19°, β = 114.19°, γ = 90.00°
Positions (direct):
Se  0.875  0.875  0.245
Se  0.631  0.125  0.755
Se  0.369  0.369  0.245
Se  0.125  0.631  0.755
Ga  0.500  0.500  0.000
Zn  0.750  0.250  0.500
Zn  0.250  0.750  0.500
Cu  0.000  0.000  0.000

total magnetization = 0.00 μB per cell

***

*x*
Zn2GaCuSe4 | SCAN | single point on PBEsol structure

a = 3.987 Å, b = 3.987 Å, c = 13.133 Å
α = 81.27°, β = 81.27°, γ = 60.00°
Positions (direct):
Zn  0.503  0.503  0.492
Zn  0.254  0.254  0.239
Se  0.564  0.564  0.308
Se  0.058  0.058  0.826
Se  0.813  0.813  0.561
Se  0.315  0.315  0.054
Ga  0.750  0.750  0.751
Cu  0.994  0.994  0.019

total magnetization = 0.00 μB per cell

***

Going by the energies, *w* is most stable and the next is 102 meV/atom up.

***

*w*
Cu5Ge2 | SCAN | single point on PBEsol structure

a = 4.057 Å, b = 4.057 Å, c = 6.851 Å
α = 72.78°, β = 72.78°, γ = 60.00°
Positions (direct):
Cu  0.739  0.739  0.782
Cu  0.125  0.125  0.626
Cu  0.871  0.871  0.388
Cu  0.255  0.255  0.234
Cu  0.380  0.380  0.860
Ge  0.510  0.510  0.471
Ge  0.995  0.995  0.014

total magnetization = 0.00 μB per cell

***

*x*
Cu5Ge2 | SCAN | single point on PBEsol structure

a = 4.048 Å, b = 4.048 Å, c = 6.942 Å
α = 73.05°, β = 73.05°, γ = 60.00°
Positions (direct):
Cu  0.873  0.873  0.381
Cu  0.000  0.000  0.000
Cu  0.621  0.621  0.137
Cu  0.127  0.127  0.619
Cu  0.379  0.379  0.863
Ge  0.249  0.249  0.253
Ge  0.751  0.751  0.747

total magnetization = 0.00 μB per cell

***

Going by the energies, *x* is most stable and the next is 8 meV/atom up.

***

*w*
LiCu2Ge2 | SCAN | single point on PBEsol structure

a = 3.795 Å, b = 3.795 Å, c = 6.001 Å
α = 108.43°, β = 108.43°, γ = 90.00°
Positions (direct):
Ge  0.612  0.612  0.224
Ge  0.388  0.388  0.776
Cu  0.750  0.250  0.500
Cu  0.250  0.750  0.500
Li  0.000  0.000  0.000

total magnetization = 0.00 μB per cell

***

*x*
LiCu2Ge2 | SCAN | single point on PBEsol structure

a = 4.087 Å, b = 4.087 Å, c = 5.746 Å
α = 110.83°, β = 110.83°, γ = 90.00°
Positions (direct):
Cu  0.618  0.618  0.237
Cu  0.382  0.382  0.763
Ge  0.250  0.750  0.500
Ge  0.750  0.250  0.500
Li  0.000  0.000  0.000

total magnetization = 0.00 μB per cell

***

Going by the energies, *w* is most stable and the next is 150 meV/atom up.